# 1
This record from Alexandria describes a geometry-optimized PrAl2WO8 structure. The functional is GGA+U.

```
PrAl2WO8
1.0
4.605 0.037 -0.003
0.082 4.607 -0.005
0.004 0.007 6.594
O W Al Pr
8 1 2 1
Cartesian
3.651 0.998 1.376 O
1.621 1.613 3.294 O
1.037 3.649 1.375 O
3.070 3.038 3.292 O
1.040 3.653 5.210 O
1.408 1.400 -0.002 O
3.654 1.002 5.211 O
3.283 3.251 6.588 O
0.000 0.000 0.000 W
2.347 2.327 5.106 Al
2.344 2.324 1.480 Al
0.002 0.003 3.297 Pr
```

Values from the calculation:
space group	No. 65
DFT total energy	-7.377	eV/atom

---

# 2
This record from Alexandria describes a geometry-optimized CrTcAs2O structure. The functional is GGA+U.

```
CrTcAs2O
1.0
-4.136 0.796 2.625
1.560 -1.268 2.843
1.605 4.554 1.149
As Tc O Cr
2 1 1 1
Cartesian
-2.068 0.398 1.312 As
0.803 2.277 0.575 As
-0.485 2.041 3.309 Tc
0.780 -0.634 1.422 O
0.000 0.000 0.000 Cr
```

Values from the calculation:
space group	No. 123
DFT total energy	-6.094	eV/atom

---

- Which of these has the highest DFT total energy?
  CrTcAs2O